Density functional theory data (GGA-PBE) for a relaxed LaAlBr2 crystal.

Cell lengths 10.4480, 10.4480, 10.4480 Å; angles 20.85, 20.85, 20.85 degrees
Last column: nearest neighbours and their distance in Å.
Atoms (fractional coordinates):
Al (0.7500, 0.7500, 0.7500)  6 Br 3.68, 6 Al 3.78
Br (0.9867, 0.9867, 0.9867)  3 La 3.06
Br (0.5133, 0.5133, 0.5133)  3 La 3.06
La (0.2500, 0.2500, 0.2500)  6 Br 3.06

Summary:
crystal system	trigonal
total magnetization	0.2	μB per cell
DFT total energy	-3.811	eV per atom
E_form (uncorrected)	-0.81	eV per atom
offset from the most stable computed form	0.1039	eV/atom
theoretical density	4.28	g/cm3